(1)
The following is a DFT calculation (PBE) of crystalline CuTc2Ir at its relaxed geometry.

a b c (Å): 2.7216 2.7216 7.5677
angles (deg): 90.00 90.00 90.00
Closest atoms and distances in Å follow each position.
Atoms (fractional coordinates):
Cu 0.0000 0.0000 0.5023  4 Ir 2.67, 4 Tc 2.68, 4 Cu 2.72
Ir 0.5000 0.5000 0.7476  4 Cu 2.67, 4 Tc 2.68, 4 Ir 2.72
Tc 0.0000 0.0000 0.9937  4 Ir 2.68, 8 Tc 2.72-2.77
Tc 0.5000 0.5000 0.2564  4 Cu 2.68, 8 Tc 2.72-2.77

Computed properties:
Its total DFT energy (no corrections) is -0.6136 Ry/atom. For the energy above the most stable polymorph in this dataset, the calculation gives 0.0315 eV/atom. Its symmetry is P4mm, No. 99. The calculation puts the formation energy at 0.07 eV per atom.

***

(2)
The following is a DFT calculation (PBE) of crystalline Ac2BeTePd6 at its relaxed geometry.

a b c (Å): 6.0961 7.5007 6.0977
angles (deg): 65.98 59.98 90.02
Closest atoms and distances in Å follow each position.
Atoms (fractional coordinates):
Ac 0.7401 0.2207 0.5191  9 Pd 3.13-3.44
Ac 0.2599 0.7793 0.4809  9 Pd 3.13-3.44
Be 0.5000 0.5000 0.0000  6 Pd 2.18
Te 0.0000 0.0000 0.0000  6 Pd 2.73
Pd 0.2665 0.3256 0.4660  1 Be 2.18
Pd 0.7330 0.6738 0.0594  1 Be 2.18
Pd 0.2090 0.6747 0.0587  1 Be 2.18
Pd 0.7910 0.3253 0.9413  1 Be 2.18
Pd 0.2670 0.3262 0.9406  1 Be 2.18
Pd 0.7335 0.6744 0.5340  1 Be 2.18

Computed properties:
Its total DFT energy (no corrections) is -0.3924 Ry/atom. Its symmetry is C2/m, No. 12.

***

(3)
The following is a DFT calculation (PBE) of crystalline La2PrNi9 at its relaxed geometry.

a b c (Å): 5.0464 5.0464 8.8529
angles (deg): 73.44 73.44 60.00
Closest atoms and distances in Å follow each position.
Atoms (fractional coordinates):
La 0.8617 0.8617 0.4148  12 Ni 2.91-3.23, 3 La 3.24
La 0.1383 0.1383 0.5852  12 Ni 2.91-3.23, 3 La 3.24
Pr 0.0000 0.0000 0.0000  18 Ni 2.91-3.23
Ni 0.6676 0.6676 0.9973  6 Ni 2.47-2.50
Ni 0.3324 0.3324 0.0027  6 Ni 2.47-2.50
Ni 0.5000 0.5000 0.5000  6 Ni 2.61
Ni 0.4205 0.4205 0.2408  7 Ni 2.47-2.61
Ni 0.9182 0.4205 0.2408  7 Ni 2.47-2.61
Ni 0.4205 0.9182 0.2408  7 Ni 2.47-2.61
Ni 0.5795 0.5795 0.7592  7 Ni 2.47-2.61
Ni 0.5795 0.0818 0.7592  7 Ni 2.47-2.61
Ni 0.0818 0.5795 0.7592  7 Ni 2.47-2.61

Computed properties:
Its total DFT energy (no corrections) is -0.4313 Ry/atom. Its symmetry is R-3m, No. 166. The calculation puts the formation energy at -0.31 eV per atom.

***

(4)
The following is a DFT calculation (PBE) of crystalline LiGaSe2 at its relaxed geometry.

a b c (Å): 4.0651 5.7290 8.3752
angles (deg): 89.99 89.98 90.03
Closest atoms and distances in Å follow each position.
Atoms (fractional coordinates):
Li 0.2020 0.8382 0.7259  4 Se 2.48-2.71
Li 0.7011 0.3381 0.4900  4 Se 2.48-2.71
Ga 0.2005 0.8860 0.2387  4 Se 2.32-2.55
Ga 0.7006 0.3861 0.9774  4 Se 2.32-2.55
Se 0.7004 0.6179 0.2287  3 Ga 2.49-2.55, 1 Li 2.71
Se 0.7017 0.5913 0.7391  1 Ga 2.32, 3 Li 2.48-2.54
Se 0.2009 0.0913 0.4768  1 Ga 2.32, 3 Li 2.48-2.54
Se 0.2005 0.1179 0.9872  3 Ga 2.49-2.55, 1 Li 2.71

Computed properties:
Its total DFT energy (no corrections) is -0.2805 Ry/atom. Its symmetry is Pc, No. 7.

***

(5)
The following is a DFT calculation (PBE) of crystalline In2FeHg at its relaxed geometry.

a b c (Å): 5.0738 3.1801 5.2079
angles (deg): 90.14 90.00 90.00
Closest atoms and distances in Å follow each position.
Atoms (fractional coordinates):
Fe 0.0000 0.6247 0.4454  8 In 3.05-3.07, 2 Hg 3.12, 2 Fe 3.18
Hg 0.5000 0.6251 0.7947  8 In 2.96-3.15, 2 Fe 3.12, 2 Hg 3.18
In 0.0000 0.1266 0.9443  4 Fe 3.05-3.06, 4 Hg 3.09-3.10, 4 In 3.18-3.19
In 0.5000 0.1236 0.3156  4 Hg 2.96-3.15, 4 Fe 3.07, 4 In 3.18-3.19

Computed properties:
Its total DFT energy (no corrections) is -0.2357 Ry/atom. Its symmetry is Pm, No. 6. The calculation puts the formation energy at 0.35 eV per atom.

***

(6)
The following is a DFT calculation (PBE) of crystalline NaTcSb2 at its relaxed geometry.

a b c (Å): 6.8335 6.8335 7.8289
angles (deg): 64.12 64.12 90.00
Closest atoms and distances in Å follow each position.
Atoms (fractional coordinates):
Sb 0.7193 0.1250 0.2500  2 Tc 2.53
Sb 0.0307 0.6250 0.2500  2 Tc 2.53
Sb 0.3750 0.2807 0.7500  2 Tc 2.53
Sb 0.8750 0.9693 0.7500  2 Tc 2.53
Tc 0.0000 0.0000 0.0000  4 Sb 2.53
Tc 0.7500 0.2500 0.5000  4 Sb 2.53
Na 0.5000 0.5000 0.0000  4 Sb 3.29
Na 0.2500 0.7500 0.5000  4 Sb 3.29

Computed properties:
Its total DFT energy (no corrections) is -0.3421 Ry/atom. For the energy above the most stable polymorph in this dataset, the calculation gives 0.4860 eV/atom. Its symmetry is I-42d, No. 122.

***

(7)
The following is a DFT calculation (PBE) of crystalline Mn2Re2Br at its relaxed geometry.

a b c (Å): 7.4000 7.4000 2.7559
angles (deg): 90.00 90.00 90.00
Closest atoms and distances in Å follow each position.
Atoms (fractional coordinates):
Re 0.1291 0.6291 0.5000  6 Mn 2.52-2.65, 3 Re 2.70-2.76
Re 0.6291 0.8709 0.5000  6 Mn 2.52-2.65, 3 Re 2.70-2.76
Re 0.8709 0.3709 0.5000  6 Mn 2.52-2.65, 3 Re 2.70-2.76
Re 0.3709 0.1291 0.5000  6 Mn 2.52-2.65, 3 Re 2.70-2.76
Mn 0.3459 0.8459 0.0000  6 Re 2.52-2.65, 2 Mn 2.76, 2 Br 2.80
Mn 0.8459 0.6541 0.0000  6 Re 2.52-2.65, 2 Mn 2.76, 2 Br 2.80
Mn 0.6541 0.1541 0.0000  6 Re 2.52-2.65, 2 Mn 2.76, 2 Br 2.80
Mn 0.1541 0.3459 0.0000  6 Re 2.52-2.65, 2 Mn 2.76, 2 Br 2.80
Br 0.0000 0.0000 0.0000  2 Br 2.76, 4 Mn 2.80
Br 0.5000 0.5000 0.0000  2 Br 2.76, 4 Mn 2.80

Computed properties:
Its total DFT energy (no corrections) is -0.6088 Ry/atom. For the energy above the most stable polymorph in this dataset, the calculation gives 0.0811 eV/atom. Its symmetry is P4/mbm, No. 127.

***

- What is the formula in the first record?
  CuTc2Ir

***

- The lowest total DFT energy (no corrections) belongs to which entry?
  CuTc2Ir